PmPr5Ho5 | PBE | relaxed

Cell: 19.071 6.039 7.083 Å, 90.00 111.57 90.00°
Space group C2/m (No. 12)
Inequivalent atoms, fractional coordinates:
Pm 0.000 0.000 0.000 (multiplicity 2)
Pr 0.000 0.500 0.000 (multiplicity 2)
Pr 0.176 0.000 0.420 (multiplicity 4)
Pr 0.176 0.000 0.933 (multiplicity 4)
Ho 0.000 0.000 0.500 (multiplicity 2)
Ho 0.122 0.500 0.624 (multiplicity 4)
Ho 0.170 0.500 0.171 (multiplicity 4)

Output
- E (eV per cell) = -97.5
- calculated volume (Å³ per atom) = 34.482
- theoretical density (kg/m³) = 7329
- formation enthalpy at 0 K (eV per atom) = 0.252